Below is a relaxed NiBiTe2 crystal, with properties calculated at the PBE-GGA level.

Cell: 5.1883 5.1883 5.1883 Å, 60.00 60.00 60.00°
Last column: nearest neighbours and their distance in Å.
Sites, in units of the cell vectors:
Ni (0.0000, 0.0000, 0.0000)  4 Te 3.18, 4 Bi 3.18
Bi (0.2500, 0.2500, 0.2500)  4 Ni 3.18, 4 Te 3.18
Te (0.5000, 0.5000, 0.5000)  4 Bi 3.18, 4 Te 3.18
Te (0.7500, 0.7500, 0.7500)  4 Ni 3.18, 4 Te 3.18

total energy	-3.461	eV/atom